Here is CsWNO2 at its PBEsol-relaxed geometry from the Alexandria database. Energies are from SCAN.

## Properties
The density of states at the Fermi level comes out at 0.722 states/eV per atom. As for the formation energy without anion corrections: 2461 meV per atom.

a b c (Å): 4.1696 4.1696 4.8573
angles (deg): 90.00 90.00 90.00
Last column: nearest neighbours and their distance in Å.
Space group P4/mmm (No. 123)
Inequivalent atoms, fractional coordinates:
Cs 0.0000 0.0000 0.0000 (multiplicity 1)  4 O 2.08
W 0.5000 0.5000 0.5000 (multiplicity 1)  4 N 2.95, 8 O 3.20
N 0.0000 0.0000 0.5000 (multiplicity 1)  2 Cs 2.43
O 0.0000 0.5000 0.0000 (multiplicity 2)  2 Cs 2.08

Here is CsOsN2 at its PBEsol-relaxed geometry from the Alexandria database. Energies are from SCAN.

## Properties
The density of states at the Fermi level comes out at 0.329 states/eV per atom. As for the formation energy without anion corrections: 37 meV per atom. The value obtained for the distance to the lowest polymorph of the same formula is 0.000 eV/atom.

a b c (Å): 5.7107 5.7107 9.5449
angles (deg): 90.00 90.00 90.00
Last column: nearest neighbours and their distance in Å.
Space group I4_1/amd (No. 141, origin choice 2)
Inequivalent atoms, fractional coordinates:
Cs 0.0000 0.2500 0.3750 (multiplicity 4)  8 N 3.41, 4 Os 3.72, 4 Cs 3.72
Os 0.0000 0.2500 0.8750 (multiplicity 4)  4 N 1.86
N 0.0000 0.0000 0.0000 (multiplicity 8)  2 Os 1.86

Here is CsOsN2 at its PBEsol-relaxed geometry from the Alexandria database. Energies are from SCAN.

## Properties
The density of states at the Fermi level comes out at 0.698 states/eV per atom. As for the formation energy without anion corrections: 814 meV per atom. The value obtained for the distance to the lowest polymorph of the same formula is 0.777 eV/atom.

a b c (Å): 3.3263 3.3263 20.7759
angles (deg): 90.00 90.00 120.00
Last column: nearest neighbours and their distance in Å.
Space group R-3m (No. 166, hexagonal axes)
Inequivalent atoms, fractional coordinates:
Cs 0.0000 0.0000 0.0000 (multiplicity 3)  2 N 2.73
Os 0.0000 0.0000 0.5000 (multiplicity 3)  6 N 2.06
N 0.0000 0.0000 0.1312 (multiplicity 6)  3 Os 2.06

Here is Cs2P2N at its PBEsol-relaxed geometry from the Alexandria database. Energies are from SCAN.

## Properties
The density of states at the Fermi level comes out at 0.760 states/eV per atom. As for the formation energy without anion corrections: -134 meV per atom.

a b c (Å): 6.8278 6.8278 10.6558
angles (deg): 90.00 90.00 90.00
Last column: nearest neighbours and their distance in Å.
Space group I4/mmm (No. 139)
Inequivalent atoms, fractional coordinates:
Cs 0.0000 0.5000 0.2500 (multiplicity 4)  4 P 3.58
P 0.0000 0.0000 0.1502 (multiplicity 4)  1 N 1.60
N 0.0000 0.0000 0.0000 (multiplicity 2)  2 P 1.60

Here is CsP4N7 at its PBEsol-relaxed geometry from the Alexandria database. Energies are from SCAN.

## Properties
The density of states at the Fermi level comes out at 0.000 states/eV per atom. As for the formation energy without anion corrections: -736 meV per atom.

a b c (Å): 9.9869 12.4771 4.7174
angles (deg): 90.00 90.00 90.00
Last column: nearest neighbours and their distance in Å.
Space group Pnma (No. 62)
Inequivalent atoms, fractional coordinates:
Cs 0.1437 0.2500 0.2214 (multiplicity 4)  11 N 3.01-3.36
P 0.0892 0.6294 0.2174 (multiplicity 8)  4 N 1.59-1.74
P 0.1571 0.5006 0.7234 (multiplicity 8)  4 N 1.58-1.73
N 0.0575 0.0963 0.6772 (multiplicity 8)  2 P 1.58-1.60
N 0.1171 0.6058 0.8891 (multiplicity 8)  2 P 1.58-1.60
N 0.1224 0.7500 0.2977 (multiplicity 4)  2 P 1.59
N 0.2024 0.5458 0.3904 (multiplicity 8)  3 P 1.71-1.74

Here is CsReN2 at its PBEsol-relaxed geometry from the Alexandria database. Energies are from SCAN.

## Properties
The density of states at the Fermi level comes out at 0.363 states/eV per atom. As for the formation energy without anion corrections: -318 meV per atom. The value obtained for the distance to the lowest polymorph of the same formula is 0.000 eV/atom.

a b c (Å): 8.6173 8.6173 8.6173
angles (deg): 90.00 90.00 90.00
Last column: nearest neighbours and their distance in Å.
Space group Fd-3m (No. 227, origin choice 2)
Inequivalent atoms, fractional coordinates:
Cs 0.1250 0.1250 0.1250 (multiplicity 8)  12 N 3.57, 4 Re 3.73, 4 Cs 3.73
Re 0.1250 0.1250 0.6250 (multiplicity 8)  4 N 1.87
N 0.0000 0.0000 0.5000 (multiplicity 16)  2 Re 1.87

Here is CsReN2 at its PBEsol-relaxed geometry from the Alexandria database. Energies are from SCAN.

## Properties
The density of states at the Fermi level comes out at 0.734 states/eV per atom. As for the formation energy without anion corrections: 2694 meV per atom. The value obtained for the distance to the lowest polymorph of the same formula is 3.013 eV/atom.

a b c (Å): 5.9016 5.9016 5.9016
angles (deg): 90.00 90.00 90.00
Last column: nearest neighbours and their distance in Å.
Space group Fm-3m (No. 225)
Inequivalent atoms, fractional coordinates:
Cs 0.0000 0.0000 0.0000 (multiplicity 4)  8 N 2.56
Re 0.0000 0.0000 0.5000 (multiplicity 4)  8 N 2.56
N 0.2500 0.2500 0.2500 (multiplicity 8)  4 Re 2.56, 4 Cs 2.56

Here is CsReN2 at its PBEsol-relaxed geometry from the Alexandria database. Energies are from SCAN.

## Properties
The density of states at the Fermi level comes out at 0.327 states/eV per atom. As for the formation energy without anion corrections: -318 meV per atom. The value obtained for the distance to the lowest polymorph of the same formula is 0.001 eV/atom.

a b c (Å): 8.3241 6.1905 12.2740
angles (deg): 90.00 90.00 90.00
Last column: nearest neighbours and their distance in Å.
Space group Pbcm (No. 57)
Inequivalent atoms, fractional coordinates:
Cs 0.1217 0.1547 0.2500 (multiplicity 4)  7 N 3.26-3.52, 1 Re 3.58
Cs 0.3712 0.2500 0.0000 (multiplicity 4)  10 N 3.34-3.71, 4 Re 3.71-3.73
Re 0.1261 0.7500 0.0000 (multiplicity 4)  4 N 1.87
Re 0.3778 0.6893 0.2500 (multiplicity 4)  4 N 1.87
N 0.0000 0.0000 0.0000 (multiplicity 4)  2 Re 1.87
N 0.2546 0.7262 0.1243 (multiplicity 8)  2 Re 1.87
N 0.4730 0.0845 0.7500 (multiplicity 4)  2 Re 1.87

Here is CsSr2ReN at its PBEsol-relaxed geometry from the Alexandria database. Energies are from SCAN.

## Properties
The density of states at the Fermi level comes out at 1.016 states/eV per atom. As for the formation energy without anion corrections: 1011 meV per atom.

a b c (Å): 5.1223 5.1223 5.5024
angles (deg): 90.00 90.00 90.00
Last column: nearest neighbours and their distance in Å.
Space group P4/mmm (No. 123)
Inequivalent atoms, fractional coordinates:
Cs 0.0000 0.0000 0.0000 (multiplicity 1)  2 N 2.75
Sr 0.0000 0.5000 0.5000 (multiplicity 2)  2 N 2.56
Re 0.5000 0.5000 0.0000 (multiplicity 1)  4 Cs 3.62, 8 Sr 3.76
N 0.0000 0.0000 0.5000 (multiplicity 1)  4 Sr 2.56, 2 Cs 2.75

Here is Cs2SN at its PBEsol-relaxed geometry from the Alexandria database. Energies are from SCAN.

## Properties
The density of states at the Fermi level comes out at 0.045 states/eV per atom. As for the formation energy without anion corrections: 123 meV per atom.

a b c (Å): 7.9385 7.9385 7.9385
angles (deg): 90.00 90.00 90.00
Last column: nearest neighbours and their distance in Å.
Space group Fm-3m (No. 225)
Inequivalent atoms, fractional coordinates:
Cs 0.2500 0.2500 0.2500 (multiplicity 8)  4 S 3.44, 4 N 3.44
S 0.0000 0.0000 0.0000 (multiplicity 4)  8 Cs 3.44
N 0.0000 0.0000 0.5000 (multiplicity 4)  8 Cs 3.44

Here is CsSbSN2 at its PBEsol-relaxed geometry from the Alexandria database. Energies are from SCAN.

## Properties
The density of states at the Fermi level comes out at 0.541 states/eV per atom. As for the formation energy without anion corrections: 823 meV per atom.

a b c (Å): 4.3809 4.3809 5.1191
angles (deg): 90.00 90.00 90.00
Last column: nearest neighbours and their distance in Å.
Space group P4/mmm (No. 123)
Inequivalent atoms, fractional coordinates:
Cs 0.0000 0.0000 0.0000 (multiplicity 1)  4 S 3.10, 8 N 3.37
Sb 0.5000 0.5000 0.5000 (multiplicity 1)  4 N 2.19
S 0.5000 0.5000 0.0000 (multiplicity 1)  2 Sb 2.56
N 0.0000 0.5000 0.5000 (multiplicity 2)  2 Sb 2.19

Here is CsSeS2N at its PBEsol-relaxed geometry from the Alexandria database. Energies are from SCAN.

## Properties
The density of states at the Fermi level comes out at 0.499 states/eV per atom. As for the formation energy without anion corrections: 572 meV per atom.

a b c (Å): 5.0652 5.0652 4.1670
angles (deg): 90.00 90.00 90.00
Last column: nearest neighbours and their distance in Å.
Space group P4/mmm (No. 123)
Inequivalent atoms, fractional coordinates:
Cs 0.0000 0.0000 0.0000 (multiplicity 1)  8 S 3.28, 4 N 3.58
Se 0.5000 0.5000 0.5000 (multiplicity 1)  2 N 2.08
S 0.0000 0.5000 0.5000 (multiplicity 2)  2 Se 2.53
N 0.5000 0.5000 0.0000 (multiplicity 1)  2 Se 2.08